First-principles (GGA-PBE) data for AsW2Cl after structural relaxation, as listed in Alexandria.

Unit cell a=4.4167 b=4.4167 c=4.4167 alpha=60.00 beta=60.00 gamma=60.00
Fractional coordinates of all 4 atoms:
As 0.0000 0.0000 0.0000
W 0.2500 0.2500 0.2500
W 0.7500 0.7500 0.7500
Cl 0.5000 0.5000 0.5000

Values from the calculation:
Uncorrected energy (eV per atom): -7.29
E_form (uncorrected) (eV/atom): 0.81
V (Å³ per cell): 60.92
Magnetic moment (μB per formula unit): 0.0
Relative energy among the computed polymorphs (meV/atom): 819